(1)
First-principles (PBE-GGA) data for LaNdPd2 after structural relaxation, as listed in Alexandria via LeMat-Bulk.

Properties
- ΔH_f (0 K) (eV/atom) = -0.746
- offset from the most stable computed form (meV/atom) = 74

Unit cell a=3.5838 b=5.2083 c=5.2083 alpha=90.00 beta=90.00 gamma=90.00
With the nearest neighbours (Å) after each atom.
Atoms (fractional coordinates):
La 0.5000 0.0000 0.0000  8 Pd 3.16
Pd 0.0000 0.5000 0.0000  4 La 3.16, 4 Nd 3.16
Pd 0.0000 0.0000 0.5000  4 La 3.16, 4 Nd 3.16
Nd 0.5000 0.5000 0.5000  8 Pd 3.16



(2)
First-principles (PBE-GGA) data for BaGaSeN2 after structural relaxation, as listed in Alexandria via LeMat-Bulk.

Properties
- offset from the most stable computed form (meV/atom) = 0
- uncorrected formation energy (eV/atom) = 0.350

Unit cell a=4.3770 b=4.3770 c=5.1353 alpha=90.00 beta=90.00 gamma=90.00
With the nearest neighbours (Å) after each atom.
Atoms (fractional coordinates):
N 0.5000 0.0000 0.0000  2 Ga 2.19
N 0.0000 0.5000 0.0000  2 Ga 2.19
Se 0.0000 0.0000 0.5000  2 Ga 2.57
Ga 0.0000 0.0000 0.0000  4 N 2.19
Ba 0.5000 0.5000 0.5000  4 Se 3.09, 8 N 3.37



(3)
First-principles (PBE-GGA) data for TiVCl6 after structural relaxation, as listed in Alexandria via LeMat-Bulk.

Properties
- uncorrected formation energy (eV/atom) = -1.373

Unit cell a=5.8908 b=5.8897 c=6.9551 alpha=115.05 beta=97.67 gamma=71.63
With the nearest neighbours (Å) after each atom.
Atoms (fractional coordinates):
Cl 0.7470 0.7461 0.0000  1 Ti 2.36, 1 V 2.42
Cl 0.7480 0.3856 0.2684  1 Ti 2.41, 1 V 2.42
Cl 0.7480 0.1172 0.7316  1 Ti 2.41, 1 V 2.42
Cl 0.2520 0.6144 0.7316  1 Ti 2.41, 1 V 2.42
Cl 0.2530 0.2539 0.0000  1 Ti 2.36, 1 V 2.42
Cl 0.2520 0.8828 0.2684  1 Ti 2.41, 1 V 2.42
V 0.0000 0.0000 0.0000  6 Cl 2.42
Ti 0.5000 0.5000 0.0000  6 Cl 2.36-2.41



(4)
First-principles (PBE-GGA) data for TcHSe2 after structural relaxation, as listed in Alexandria via LeMat-Bulk.

Properties
- offset from the most stable computed form (meV/atom) = 12

Unit cell a=5.1654 b=4.4528 c=7.4108 alpha=107.41 beta=88.32 gamma=94.43
With the nearest neighbours (Å) after each atom.
Atoms (fractional coordinates):
Se 0.3768 0.7054 0.5761  1 H 2.29, 2 Tc 2.42-2.44
Se 0.8779 0.4333 0.0779  1 H 1.53
Se 0.8655 0.2499 0.6226  1 H 1.53
Se 0.3666 0.9778 0.1244  1 H 2.29, 2 Tc 2.43-2.44
Tc 0.2444 0.5350 0.8511  1 Tc 2.24, 2 Se 2.43-2.44
Tc 0.4990 0.1482 0.8494  1 Tc 2.24, 2 Se 2.42-2.44
H 0.9990 0.9393 0.5672  1 Se 1.53
H 0.7444 0.7438 0.1333  1 Se 1.53